## HfBe2CoPt (GGA-PBE)

Data for a relaxed structure of HfBe2CoPt.

Cell lengths 4.602, 4.602, 4.886 Å; angles 90.00, 90.00, 90.00 degrees
Positions (direct):
Hf: 0.000 0.000 0.000
Be: 0.000 0.500 0.000
Be: 0.500 0.000 0.000
Co: 0.500 0.500 0.500
Pt: 0.000 0.000 0.500

Properties
- ΔH_f (0 K) (eV per atom) = 1.695
- symmetry = P4/mmm

## Tl6In2Au (GGA-PBE)

Data for a relaxed structure of Tl6In2Au.

Cell lengths 3.468, 3.468, 24.960 Å; angles 90.00, 90.00, 120.00 degrees
Positions (direct):
Tl: 0.000 0.000 0.064
Tl: 0.000 0.000 0.288
Tl: 0.000 0.000 0.712
Tl: 0.000 0.000 0.936
Tl: 0.333 0.667 0.408
Tl: 0.333 0.667 0.592
In: 0.333 0.667 0.176
In: 0.333 0.667 0.824
Au: 0.000 0.000 0.500

Properties
- ΔH_f (0 K) (eV per atom) = 0.025
- symmetry = P-6m2

## TlAs2Os (GGA-PBE)

Data for a relaxed structure of TlAs2Os.

Cell lengths 4.038, 4.038, 7.492 Å; angles 98.68, 98.68, 46.04 degrees
Positions (direct):
Tl: 0.000 0.000 0.000
As: 0.230 0.230 0.671
As: 0.770 0.770 0.329
Os: 0.500 0.500 0.500

Properties
- ΔH_f (0 K) (eV per atom) = 0.158
- symmetry = C2/m

## Cs3Tb2SnS6 (GGA-PBE)

Data for a relaxed structure of Cs3Tb2SnS6.

Cell lengths 7.158, 7.158, 8.379 Å; angles 98.18, 98.18, 120.01 degrees
Positions (direct):
Cs: 0.000 0.000 0.000
Cs: 0.334 0.666 0.000
Cs: 0.666 0.334 0.000
Tb: 0.167 0.833 0.500
Tb: 0.833 0.167 0.500
Sn: 0.500 0.500 0.500
S: 0.106 0.439 0.318
S: 0.227 0.227 0.682
S: 0.439 0.106 0.318
S: 0.561 0.894 0.682
S: 0.773 0.773 0.318
S: 0.894 0.561 0.682

Properties
- energy relative to the elements, uncorrected (kJ/mol of formula units) = -1661
- symmetry = C2/m

## PuZr2Os (GGA-PBE)

Data for a relaxed structure of PuZr2Os.

Cell lengths 4.919, 4.919, 3.278 Å; angles 90.00, 90.00, 90.00 degrees
Positions (direct):
Pu: 0.000 0.000 0.000
Zr: 0.000 0.500 0.500
Zr: 0.500 0.000 0.500
Os: 0.500 0.500 0.000

Properties
- ΔH_f (0 K) (eV per atom) = 0.016
- symmetry = P4/mmm

## MnNb3Cl (GGA-PBE)

Data for a relaxed structure of MnNb3Cl.

Cell lengths 4.503, 4.503, 4.503 Å; angles 90.00, 90.00, 90.00 degrees
Positions (direct):
Mn: 0.000 0.000 0.000
Nb: 0.000 0.500 0.500
Nb: 0.500 0.000 0.500
Nb: 0.500 0.500 0.000
Cl: 0.500 0.500 0.500

Properties
- energy relative to the elements, uncorrected (kJ/mol of formula units) = 498
- symmetry = Pm-3m

## TbNd2Tl (GGA-PBE)

Data for a relaxed structure of TbNd2Tl.

Cell lengths 5.578, 5.578, 5.578 Å; angles 60.00, 60.00, 60.00 degrees
Positions (direct):
Tb: 0.000 0.000 0.000
Nd: 0.500 0.500 0.500
Nd: 0.750 0.750 0.750
Tl: 0.250 0.250 0.250

Properties
- ΔH_f (0 K) (eV per atom) = -0.032
- symmetry = F-43m

## Ag2Pb2Cl2F5 (GGA-PBE)

Data for a relaxed structure of Ag2Pb2Cl2F5.

Cell lengths 13.509, 13.509, 13.509 Å; angles 161.74, 161.74, 25.93 degrees
Positions (direct):
Ag: 0.080 0.080 0.000
Ag: 0.920 0.920 0.000
Pb: 0.329 0.329 0.000
Pb: 0.671 0.671 0.000
Cl: 0.211 0.211 0.000
Cl: 0.789 0.789 0.000
F: 0.000 0.000 0.000
F: 0.118 0.618 0.500
F: 0.382 0.882 0.500
F: 0.618 0.118 0.500
F: 0.882 0.382 0.500

Properties
- energy relative to the elements, uncorrected (kJ/mol of formula units) = -1509
- symmetry = I4/mmm

Calculated D(E_F), 3.07; 3.00; 1.59; 5.14; 7.30; 12.04; 5.69; 7.54 states/eV/f.u. (same order as the records).
Calculated DFT total energy, -4.42; -2.53; -5.57; -4.82; -10.65; -7.21; -4.17; -3.80 eV per atom (same order as the records).